DFT (PBE-GGA) results for Ca2HoTm after structural relaxation.

```
4
Lattice="-0.4846 -3.8235 -3.8411 1.5525 -3.5337 3.3216 -4.8285 -0.8001 1.4056" Properties=species:S:1:pos:R:3 pbc="T T T"
Tm -0.2423 -1.9118 -1.9206
Ho -1.8803 -4.0786 0.4431
Ca 0.7763 -1.7668 1.6608
Ca -2.4142 -0.4001 0.7028
```

- N(E_F): 1.797 states/eV/atom
- DFT total energy: -3.06 eV per atom
- ρ: 4.9 Mg/m³
- Symmetry: P4/mmm
- ΔH_f (0 K): 200 meV per atom
- V: 141.09 Å³/f.u.

=====

DFT (PBE-GGA) results for CaHo7Tm2 after structural relaxation.

```
10
Lattice="-1.3245 7.2425 -2.9138 5.3737 -7.1169 -2.9086 -7.0636 -3.2733 1.5132" Properties=species:S:1:pos:R:3 pbc="T T T"
Ho -5.5876 1.7003 -1.7058
Ho -3.5471 4.4438 -2.3279
Ho 2.0246 0.0628 -2.9112
Ho -2.2724 -5.4835 -1.6612
Ho 0.5327 -7.5916 -1.9813
Ho -0.7420 2.3358 -2.6480
Ho 2.5731 -4.8481 -2.6034
Tm -2.9118 -0.4342 -1.9952
Tm -0.1027 -2.7136 -2.3140
Ca 0.0000 0.0000 0.0000
```

- N(E_F): 1.367 states/eV/atom
- DFT total energy: -4.24 eV per atom
- ρ: 8.1 Mg/m³
- Symmetry: P-1
- ΔH_f (0 K): 59 meV per atom
- V: 314.52 Å³/f.u.

=====

DFT (PBE-GGA) results for CaHo8Tm6 after structural relaxation.

```
15
Lattice="-5.8411 2.7603 -4.8447 -6.0287 -5.3717 0.0913 -5.8829 2.9688 4.6675" Properties=species:S:1:pos:R:3 pbc="T T T"
Ho -10.0316 3.7531 -1.6738
Ho -7.5887 3.3358 2.2253
Ho -7.7211 -3.3957 1.5879
Ho -7.6156 0.5214 -3.9241
Ho -10.1371 -0.1640 3.8383
Ho -4.2893 0.0864 -0.0207
Ho -10.1640 -2.9785 -2.3112
Ho -13.4633 0.2710 -0.0651
Tm -10.4247 1.9296 1.1602
Tm -10.4395 0.3990 -2.1450
Tm -10.4961 -1.6973 0.8331
Tm -7.2565 2.0547 -0.9190
Tm -7.3131 -0.0416 2.0591
Tm -7.3280 -1.5722 -1.2460
Ca 0.0000 0.0000 0.0000
```

- N(E_F): 1.368 states/eV/atom
- DFT total energy: -4.15 eV per atom
- ρ: 8.5 Mg/m³
- Symmetry: R-3
- ΔH_f (0 K): 213 meV per atom
- V: 464.03 Å³/f.u.

=====

> Look up the ΔH_f (0 K) of the second one.

59 meV per atom

=====

> What is the N(E_F) in the third record?

1.368 states/eV/atom

=====

> The lowest N(E_F) belongs to which entry?

CaHo7Tm2

=====

> Among the records above, which one has the lowest DFT total energy?

CaHo7Tm2